BeAs2Ir: relaxed, PBE.

Calculated values
Formation enthalpy at 0 K   313 meV per atom
Magnetization   0.0 μB/cell
Crystal system   tetragonal

a = 2.9709 Å, b = 2.9709 Å, c = 6.7351 Å
α = 90.00°, β = 90.00°, γ = 90.01°
With the nearest neighbours (Å) after each atom.
Element x y z (fractional)
Be 0.5000 0.5000 0.2500  8 As 2.68, 4 Be 2.97
As 0.0000 0.0000 0.0040  4 Be 2.68, 4 Ir 2.71, 4 As 2.97
As 0.0000 0.0000 0.4960  4 Be 2.68, 4 Ir 2.71, 4 As 2.97
Ir 0.5000 0.5000 0.7500  8 As 2.71, 4 Ir 2.97